A relaxed AgSbWO7 crystal. Source: the Alexandria database, functional GGA+U.

```
AgSbWO7
1.0
-6.013 -2.008 -3.801
-3.428 -1.865 6.278
2.831 6.771 -0.882
O Ag Sb W
14 2 2 2
Direct
0.934 0.064 0.254
0.934 0.681 0.870
0.056 0.306 0.750
0.674 0.924 0.750
0.311 0.064 0.630
0.326 0.076 0.250
0.944 0.694 0.250
0.311 0.681 0.246
0.418 0.668 0.750
0.066 0.319 0.130
0.689 0.319 0.754
0.066 0.936 0.746
0.582 0.332 0.250
0.689 0.936 0.370
0.500 0.000 0.000
0.500 0.500 0.500
0.500 0.000 0.500
0.000 0.000 0.000
0.000 0.500 0.000
0.000 0.000 0.500
```

Properties
VASP energy = -120.79 eV per cell
D(E_F) = 3.2 states/eV/cell



A relaxed AgSbWO6 crystal. Source: the Alexandria database, functional GGA+U.

```
AgSbWO6
1.0
5.354 0.000 0.000
-2.677 4.637 0.000
0.000 0.000 10.447
O Sb W Ag
12 2 2 2
Direct
0.613 0.620 0.645
0.008 0.620 0.855
0.992 0.380 0.145
0.992 0.613 0.355
0.380 0.992 0.645
0.620 0.008 0.355
0.008 0.387 0.645
0.380 0.387 0.855
0.387 0.380 0.355
0.620 0.613 0.145
0.613 0.992 0.855
0.387 0.008 0.145
0.333 0.667 0.250
0.667 0.333 0.750
0.667 0.333 0.250
0.333 0.667 0.750
0.000 0.000 0.000
0.000 0.000 0.500
```

Properties
VASP energy = -112.45 eV per cell



In μB/f.u., the magnetic moment values for the records above are, in order, 1.1, 0.0.